Mg2CoBr: relaxed, PBE-GGA.

**Formation energy from raw total energies**: -0.141 eV per atom
**Mass density**: 4.2 g cm⁻³
**Energy**: -25.1 eV/cell
**Energy relative to the lowest polymorph listed for this composition**: 6.9 kJ/mol of formula units

abc: 4.557 4.566 7.141
angles: 90.00 90.00 90.00
Space group Cmmm (No. 65)
Asymmetric unit:
Mg  0.000  0.000  0.202 (multiplicity 4)
Co  0.000  0.500  0.000 (multiplicity 2)
Br  0.000  0.500  0.500 (multiplicity 2)